(1)
VASP calculation (meta-GGA SCAN) on a PBEsol-optimized structure of CrAg2Os.

Properties
Total magnetization (μB/f.u.): 2.17
Raw total energy (eV per atom): -37.663
Theoretical density (kg/m³): 12879

a = 3.7024 Å, b = 3.7024 Å, c = 4.3076 Å
α = 90.00°, β = 90.00°, γ = 90.00°
Fractional positions:
Cr  0.0000  0.0000  0.0000
Ag  0.0000  0.5000  0.5000
Ag  0.5000  0.0000  0.5000
Os  0.5000  0.5000  0.0000

(2)
VASP calculation (meta-GGA SCAN) on a PBEsol-optimized structure of Li4Nb2V3Cr3O16.

Properties
Total magnetization (μB/f.u.): 15.00
Raw total energy (eV per atom): -12.730
Theoretical density (kg/m³): 4573

a = 5.8575 Å, b = 5.8575 Å, c = 9.5465 Å
α = 90.00°, β = 90.00°, γ = 59.64°
Fractional positions:
Li  0.0000  0.0000  0.0000
Li  0.9999  0.9999  0.4983
Li  0.3306  0.3306  0.4064
Li  0.6655  0.6655  0.9017
Nb  0.3304  0.3304  0.9967
Nb  0.6675  0.6675  0.4981
V  0.1714  0.1714  0.7237
V  0.3505  0.8201  0.2223
V  0.8201  0.3505  0.2223
Cr  0.1705  0.6617  0.7202
Cr  0.6617  0.1705  0.7202
Cr  0.8337  0.8337  0.2193
O  0.0028  0.0028  0.8126
O  0.0044  0.0044  0.3105
O  0.0342  0.4887  0.8453
O  0.1655  0.1655  0.1042
O  0.1697  0.6680  0.1025
O  0.3312  0.3312  0.6134
O  0.3309  0.8365  0.6036
O  0.4814  0.4814  0.8422
O  0.4887  0.0342  0.8453
O  0.5136  0.5136  0.3514
O  0.5236  0.9629  0.3441
O  0.6680  0.1697  0.1025
O  0.6694  0.6694  0.1088
O  0.8357  0.8357  0.6030
O  0.8365  0.3309  0.6036
O  0.9629  0.5236  0.3441

(3)
VASP calculation (meta-GGA SCAN) on a PBEsol-optimized structure of Ag2RhSe.

Properties
Total magnetization (μB/f.u.): 0.36
Raw total energy (eV per atom): -28.871
Theoretical density (kg/m³): 10115

a = 5.1270 Å, b = 5.1270 Å, c = 2.8145 Å
α = 90.00°, β = 90.00°, γ = 118.08°
Fractional positions:
Ag  0.0000  0.5000  0.0000
Ag  0.5000  0.0000  0.0000
Rh  0.0000  0.0000  0.5000
Se  0.5000  0.5000  0.5000

(4)
VASP calculation (meta-GGA SCAN) on a PBEsol-optimized structure of Tc3Ge.

Properties
Total magnetization (μB/f.u.): 1.19
Raw total energy (eV per atom): -31.085
Theoretical density (kg/m³): 10941

a = 4.2853 Å, b = 4.2853 Å, c = 4.2853 Å
α = 60.00°, β = 60.00°, γ = 60.00°
Fractional positions:
Tc  0.0000  0.0000  0.0000
Tc  0.2500  0.2500  0.2500
Tc  0.7500  0.7500  0.7500
Ge  0.5000  0.5000  0.5000

(5)
VASP calculation (meta-GGA SCAN) on a PBEsol-optimized structure of Li2FeTc.

Properties
Total magnetization (μB/f.u.): 0.66
Raw total energy (eV per atom): -14.161
Theoretical density (kg/m³): 6164

a = 3.9980 Å, b = 3.9980 Å, c = 3.9980 Å
α = 60.00°, β = 60.00°, γ = 60.00°
Fractional positions:
Li  0.0000  0.0000  0.0000
Li  0.2500  0.2500  0.2500
Fe  0.5000  0.5000  0.5000
Tc  0.7500  0.7500  0.7500

(6)
VASP calculation (meta-GGA SCAN) on a PBEsol-optimized structure of KMn16O32.

Properties
Total magnetization (μB/f.u.): 46.99
Raw total energy (eV per atom): -12.343
Theoretical density (kg/m³): 4436

a = 9.7189 Å, b = 9.7189 Å, c = 5.6669 Å
α = 90.00°, β = 90.00°, γ = 90.00°
Fractional positions:
K  0.0000  0.0000  0.0000
Mn  0.1507  0.3327  0.5000
Mn  0.1522  0.3345  0.0000
Mn  0.1687  0.6518  0.2502
Mn  0.1687  0.6518  0.7498
Mn  0.3327  0.8493  0.5000
Mn  0.3345  0.8478  0.0000
Mn  0.3482  0.1687  0.2502
Mn  0.3482  0.1687  0.7498
Mn  0.6518  0.8313  0.2502
Mn  0.6518  0.8313  0.7498
Mn  0.6655  0.1522  0.0000
Mn  0.6673  0.1507  0.5000
Mn  0.8313  0.3482  0.2502
Mn  0.8313  0.3482  0.7498
Mn  0.8478  0.6655  0.0000
Mn  0.8493  0.6673  0.5000
O  0.0421  0.6682  0.0000
O  0.0426  0.6663  0.5000
O  0.1542  0.2023  0.2488
O  0.1542  0.2023  0.7512
O  0.1636  0.4588  0.2507
O  0.1636  0.4588  0.7493
O  0.2023  0.8458  0.2488
O  0.2023  0.8458  0.7512
O  0.2980  0.6556  0.0000
O  0.2978  0.6565  0.5000
O  0.3318  0.0421  0.0000
O  0.3337  0.0426  0.5000
O  0.3435  0.2978  0.5000
O  0.3444  0.2980  0.0000
O  0.4588  0.8364  0.2507
O  0.4588  0.8364  0.7493
O  0.5412  0.1636  0.2507
O  0.5412  0.1636  0.7493
O  0.6556  0.7020  0.0000
O  0.6565  0.7022  0.5000
O  0.6663  0.9574  0.5000
O  0.6682  0.9579  0.0000
O  0.7022  0.3435  0.5000
O  0.7020  0.3444  0.0000
O  0.7977  0.1542  0.2488
O  0.7977  0.1542  0.7512
O  0.8364  0.5412  0.2507
O  0.8364  0.5412  0.7493
O  0.8458  0.7977  0.2488
O  0.8458  0.7977  0.7512
O  0.9574  0.3337  0.5000
O  0.9579  0.3318  0.0000

(7)
VASP calculation (meta-GGA SCAN) on a PBEsol-optimized structure of NbCdAs2.

Properties
Total magnetization (μB/f.u.): 0.97
Raw total energy (eV per atom): -25.973
Theoretical density (kg/m³): 5653

a = 7.1205 Å, b = 7.1205 Å, c = 7.1205 Å
α = 129.67°, β = 129.67°, γ = 73.94°
Fractional positions:
Nb  0.0000  0.0000  0.0000
Nb  0.7500  0.2500  0.5000
Cd  0.2500  0.7500  0.5000
Cd  0.5000  0.5000  0.0000
As  0.1015  0.6250  0.9765
As  0.3750  0.3515  0.4765
As  0.6485  0.1250  0.0235
As  0.8750  0.8985  0.5235

(8)
VASP calculation (meta-GGA SCAN) on a PBEsol-optimized structure of TcTeW3.

Properties
Total magnetization (μB/f.u.): 0.00
Raw total energy (eV per atom): -54.252
Theoretical density (kg/m³): 12427

a = 4.7003 Å, b = 4.7003 Å, c = 4.7003 Å
α = 90.00°, β = 90.00°, γ = 90.00°
Fractional positions:
Tc  0.0000  0.0000  0.0000
Te  0.5000  0.5000  0.5000
W  0.0000  0.0000  0.5000
W  0.0000  0.5000  0.0000
W  0.5000  0.0000  0.0000

(9)
VASP calculation (meta-GGA SCAN) on a PBEsol-optimized structure of Cd2NiMo.

Properties
Total magnetization (μB/f.u.): 1.08
Raw total energy (eV per atom): -27.514
Theoretical density (kg/m³): 9777

a = 5.1253 Å, b = 5.1253 Å, c = 2.6844 Å
α = 90.00°, β = 90.00°, γ = 113.95°
Fractional positions:
Cd  0.0000  0.5000  0.0000
Cd  0.5000  0.0000  0.0000
Ni  0.0000  0.0000  0.5000
Mo  0.5000  0.5000  0.5000

(10)
VASP calculation (meta-GGA SCAN) on a PBEsol-optimized structure of Na2InPbAu.

Properties
Total magnetization (μB/f.u.): 0.00
Raw total energy (eV per atom): -37.045
Theoretical density (kg/m³): 5087

a = 5.7602 Å, b = 5.7602 Å, c = 5.5583 Å
α = 90.00°, β = 90.00°, γ = 90.00°
Fractional positions:
Na  0.0000  0.5000  0.0000
Na  0.5000  0.0000  0.0000
In  0.0000  0.0000  0.5000
Pb  0.0000  0.0000  0.0000
Au  0.5000  0.5000  0.5000

(11)
VASP calculation (meta-GGA SCAN) on a PBEsol-optimized structure of LiCdPt4.

Properties
Total magnetization (μB/f.u.): 0.00
Raw total energy (eV per atom): -52.659
Theoretical density (kg/m³): 14752

a = 5.2320 Å, b = 5.2320 Å, c = 5.2320 Å
α = 60.00°, β = 60.00°, γ = 60.00°
Fractional positions:
Li  0.0000  0.0000  0.0000
Cd  0.2500  0.2500  0.2500
Pt  0.1246  0.6251  0.6251
Pt  0.6251  0.1246  0.6251
Pt  0.6251  0.6251  0.1246
Pt  0.6251  0.6251  0.6251